The following is a GGA-PBE calculation of SmNpB4 after structural relaxation, from Alexandria.

Distance to the lowest polymorph of the same formula, eV per atom: 0.675
Mass density, g/cm³: 9.221
Symmetry: F-43m (216)
DFT total energy, eV per atom: -6.9280

Unit cell a=4.7866 b=4.7866 c=4.7866 alpha=60.00 beta=60.00 gamma=60.00
With the nearest neighbours (Å) after each atom.
Atoms (fractional coordinates):
Sm: 0.0000 0.0000 0.0000  12 B 2.90, 4 Np 2.93
Np: 0.2500 0.2500 0.2500  12 B 2.77, 4 Sm 2.93
B: 0.2244 0.5918 0.5918  3 B 1.76
B: 0.5918 0.2244 0.5918  3 B 1.76
B: 0.5918 0.5918 0.2244  3 B 1.76
B: 0.5918 0.5918 0.5918  3 B 1.76